Record 1
SnHOs2: optimized geometry, GGA-PBE.

Lattice parameters (Å, degrees): 4.6832 5.4595 5.5352 61.35 77.37 78.01
Space group P1 (No. 1)
One atom of each set of equivalent atoms:
Sn  0.0000  0.0000  0.0000 (multiplicity 1)
Sn  0.4007  0.3601  0.2581 (multiplicity 1)
H  0.2816  0.8268  0.6308 (multiplicity 1)
H  0.8381  0.3754  0.4990 (multiplicity 1)
Os  0.4681  0.8531  0.2987 (multiplicity 1)
Os  0.4763  0.3376  0.7465 (multiplicity 1)
Os  0.5763  0.8231  0.8036 (multiplicity 1)
Os  0.9833  0.5818  0.5814 (multiplicity 1)

Calculated values
N(E_F) ... 0.60 states/eV/atom
Energy above the most stable polymorph in this dataset ... 114 meV/atom
Magnetization ... 0.00 μB per formula unit

=====

Record 2
Mg2TiSi2Rh5: optimized geometry, GGA-PBE.

Lattice parameters (Å, degrees): 9.5420 9.5420 3.3120 90.00 90.00 90.00
Space group P4/mbm (No. 127)
One atom of each set of equivalent atoms:
Mg  0.1715  0.3285  0.0000 (multiplicity 4)
Ti  0.0000  0.0000  0.0000 (multiplicity 2)
Si  0.1278  0.6278  0.0000 (multiplicity 4)
Rh  0.0000  0.5000  0.5000 (multiplicity 2)
Rh  0.0728  0.7960  0.5000 (multiplicity 8)

Calculated values
Raw formation energy ... -742 meV per atom
N(E_F) ... 0.36 states/eV/atom
Magnetization ... 0.00 μB per formula unit

=====

Record 3
KCrSe2N: optimized geometry, GGA-PBE.

Lattice parameters (Å, degrees): 5.7755 5.7755 4.7930 90.00 90.00 90.00
Space group P4/mmm (No. 123)
One atom of each set of equivalent atoms:
K  0.0000  0.0000  0.0000 (multiplicity 1)
Cr  0.5000  0.5000  0.5000 (multiplicity 1)
Se  0.0000  0.5000  0.0000 (multiplicity 2)
N  0.0000  0.0000  0.5000 (multiplicity 1)

Calculated values
Raw formation energy ... 1655 meV per atom
N(E_F) ... 0.72 states/eV/atom
Energy above the most stable polymorph in this dataset ... 1812 meV/atom
Magnetization ... 0.02 μB per formula unit

=====

Record 4
Y5Zn2Pb: optimized geometry, GGA-PBE.

Lattice parameters (Å, degrees): 8.1402 8.1402 13.0241 90.00 90.00 90.00
Space group I4/mcm (No. 140)
One atom of each set of equivalent atoms:
Y  0.0000  0.0000  0.0000 (multiplicity 4)
Y  0.1545  0.3455  0.1442 (multiplicity 16)
Zn  0.1366  0.3634  0.5000 (multiplicity 8)
Pb  0.0000  0.0000  0.2500 (multiplicity 4)

Calculated values
N(E_F) ... 0.89 states/eV/atom
Magnetization ... 0.00 μB per formula unit
ΔH_f (0 K) ... -0.37 eV per atom

=====

Record 5
RuBrN2F: optimized geometry, GGA-PBE.

Lattice parameters (Å, degrees): 3.9199 3.9199 4.1280 90.00 90.00 90.00
Space group P4/mmm (No. 123)
One atom of each set of equivalent atoms:
Ru  0.0000  0.0000  0.0000 (multiplicity 1)
Br  0.5000  0.5000  0.5000 (multiplicity 1)
N  0.0000  0.5000  0.0000 (multiplicity 2)
F  0.0000  0.0000  0.5000 (multiplicity 1)

Calculated values
Raw formation energy ... 647 meV per atom
N(E_F) ... 0.51 states/eV/atom
Energy above the most stable polymorph in this dataset ... 0 meV/atom
Magnetization ... 0.75 μB per formula unit

=====

Record 6
AcCuPb: optimized geometry, GGA-PBE.

Lattice parameters (Å, degrees): 6.5014 7.0126 8.1328 104.40 96.32 104.77
Space group P-1 (No. 2)
One atom of each set of equivalent atoms:
Ac  0.1459  0.3256  0.1590 (multiplicity 2)
Ac  0.2688  0.2246  0.6547 (multiplicity 2)
Cu  0.3298  0.9640  0.9054 (multiplicity 2)
Cu  0.4210  0.6484  0.9793 (multiplicity 2)
Pb  0.2423  0.8818  0.2304 (multiplicity 2)
Pb  0.2683  0.6938  0.5819 (multiplicity 2)

Calculated values
N(E_F) ... 0.57 states/eV/atom
Energy above the most stable polymorph in this dataset ... 78 meV/atom
Magnetization ... 0.00 μB per formula unit
ΔH_f (0 K) ... -0.29 eV per atom

=====

Record 7
TaCoPb2N: optimized geometry, GGA-PBE.

Lattice parameters (Å, degrees): 5.0159 5.0159 4.0173 90.00 90.00 90.00
Space group P4/mmm (No. 123)
One atom of each set of equivalent atoms:
Ta  0.0000  0.0000  0.0000 (multiplicity 1)
Co  0.5000  0.5000  0.0000 (multiplicity 1)
Pb  0.0000  0.5000  0.5000 (multiplicity 2)
N  0.0000  0.0000  0.5000 (multiplicity 1)

Calculated values
Raw formation energy ... 734 meV per atom
N(E_F) ... 1.49 states/eV/atom
Magnetization ... 1.69 μB per formula unit

=====

Record 8
TbPm3HoEr: optimized geometry, GGA-PBE.

Lattice parameters (Å, degrees): 8.0230 5.0902 10.1462 90.00 108.53 90.00
Space group P2_1/m (No. 11)
One atom of each set of equivalent atoms:
Tb  0.1701  0.2500  0.2925 (multiplicity 2)
Pm  0.1692  0.2500  0.7921 (multiplicity 2)
Pm  0.1686  0.7500  0.0422 (multiplicity 2)
Pm  0.1686  0.7500  0.5419 (multiplicity 2)
Ho  0.5003  0.2500  0.6243 (multiplicity 2)
Er  0.4987  0.2500  0.1254 (multiplicity 2)

Calculated values
N(E_F) ... 1.41 states/eV/atom
Magnetization ... 0.00 μB per formula unit
ΔH_f (0 K) ... 0.02 eV per atom